A relaxed structure of RbCd2NiF8. Source: Alexandria, functional PBE with a Hubbard U.

- DFT total energy: -3.778 eV per atom
- M_tot: 3.0 μB per formula unit

a = 5.059 Å, b = 5.127 Å, c = 7.275 Å
α = 89.56°, β = 89.74°, γ = 89.37°
Space group P-1 (No. 2)
One atom of each set of equivalent atoms:
Rb 0.000 0.000 0.000 [1 per cell]
Cd 0.499 0.499 0.258 [2 per cell]
Ni 0.000 0.000 0.500 [1 per cell]
F 0.159 0.786 0.682 [2 per cell]
F 0.164 0.791 0.319 [2 per cell]
F 0.306 0.262 0.501 [2 per cell]
F 0.435 0.266 0.001 [2 per cell]